No. 1
Crystalline Zr2CrBr at its relaxed geometry, computed with PBE-GGA.

Its uncorrected formation energy is 0.115 eV per atom. For the total energy, the calculation gives -6.98 eV per atom. As for the density of states at the Fermi level: 1.007 states/eV/atom.

It has space group Cmm2 (No. 35), with a = 3.9759 Å, b = 5.0702 Å, c = 8.8686 Å, α = 90.00°, β = 90.00° and γ = 90.00°. The inequivalent atoms are Zr at (0.0000, 0.0000, 0.0000), Zr at (0.0000, 0.5000, 0.2617), Cr at (0.0000, 0.5000, 0.7713) and Br at (0.0000, 0.0000, 0.4920).


No. 2
Crystalline Li4Zn2Ni at its relaxed geometry, computed with PBE-GGA.

As for the formation energy from the elements: -0.30 eV/f.u. For the total energy, the calculation gives -2.33 eV per atom. As for the density of states at the Fermi level: 0.476 states/eV/atom.

It has space group I4/mmm (No. 139), with a = 5.0546 Å, b = 5.0546 Å, c = 8.3052 Å, α = 90.00°, β = 90.00° and γ = 90.00°. The inequivalent atoms are Li at (0.2500, 0.2500, 0.2500), Zn at (0.0000, 0.5000, 0.0000) and Ni at (0.0000, 0.0000, 0.0000).


No. 3
Crystalline HgPb2Au at its relaxed geometry, computed with PBE-GGA.

As for the formation energy from the elements: 0.08 eV/f.u. For the total energy, the calculation gives -2.73 eV per atom. As for the density of states at the Fermi level: 0.318 states/eV/atom.

It has space group P4mm (No. 99), with a = 3.6732 Å, b = 3.6732 Å, c = 7.7484 Å, α = 90.00°, β = 90.00° and γ = 90.00°. The inequivalent atoms are Hg at (0.0000, 0.0000, 0.0000), Pb at (0.0000, 0.0000, 0.5751), Pb at (0.5000, 0.5000, 0.2565) and Au at (0.5000, 0.5000, 0.7973).


No. 4
Crystalline LiZrCd6 at its relaxed geometry, computed with PBE-GGA.

As for the formation energy from the elements: -0.92 eV/f.u. For the total energy, the calculation gives -2.11 eV per atom. As for the density of states at the Fermi level: 0.604 states/eV/atom.

It has space group P4/mmm (No. 123), with a = 4.4550 Å, b = 4.4550 Å, c = 8.5402 Å, α = 90.00°, β = 90.00° and γ = 90.00°. The inequivalent atoms are Li at (0.0000, 0.0000, 0.0000), Zr at (0.0000, 0.0000, 0.5000), Cd at (0.0000, 0.5000, 0.2450), Cd at (0.5000, 0.5000, 0.0000) and Cd at (0.5000, 0.5000, 0.5000).